Entry 1:
Entry from Alexandria: As2P after structural relaxation (GGA-PBE).

a b c (Å): 4.7986 4.7986 2.7039
angles (deg): 90.00 90.00 120.00
With the nearest neighbours (Å) after each atom.
Fractional coordinates of all 3 atoms:
As 0.3333 0.6667 0.5000  5 As 2.70-2.77
As 0.6667 0.3333 0.5000  5 As 2.70-2.77
P 0.0000 0.0000 0.0000  2 P 2.70

Summary:
Energy relative to the lowest polymorph listed for this composition in kJ/mol of atoms: 49.9
Energy of formation from the pure elements in eV per atom: 0.576



Entry 2:
Entry from Alexandria: Ni2Sn5 after structural relaxation (GGA-PBE).

a b c (Å): 6.6022 6.6845 8.5551
angles (deg): 113.22 112.70 90.00
With the nearest neighbours (Å) after each atom.
Fractional coordinates of all 14 atoms:
Ni 0.1060 0.6698 0.6696  6 Sn 2.51-2.67, 1 Ni 2.68
Ni 0.5636 0.1698 0.6696  6 Sn 2.51-2.67, 1 Ni 2.68
Ni 0.8940 0.3302 0.3304  6 Sn 2.51-2.67, 1 Ni 2.68
Ni 0.4364 0.8302 0.3304  6 Sn 2.51-2.67, 1 Ni 2.68
Sn 0.5224 0.5915 0.7943  2 Ni 2.65-2.67
Sn 0.7282 0.9085 0.2057  2 Ni 2.65-2.67
Sn 0.2718 0.0915 0.7943  2 Ni 2.65-2.67
Sn 0.4776 0.4085 0.2057  2 Ni 2.65-2.67
Sn 0.2746 0.2006 0.3759  3 Ni 2.59-2.64
Sn 0.1013 0.7006 0.3759  3 Ni 2.59-2.64
Sn 0.7254 0.7994 0.6241  3 Ni 2.59-2.64
Sn 0.8987 0.2994 0.6241  3 Ni 2.59-2.64
Sn 0.1749 0.7500 0.0000  2 Ni 2.51
Sn 0.8251 0.2500 0.0000  2 Ni 2.51

Summary:
Energy relative to the lowest polymorph listed for this composition in kJ/mol of atoms: 0.0
Energy of formation from the pure elements in eV per atom: -0.098



Entry 3:
Entry from Alexandria: NdTmMgRh after structural relaxation (GGA-PBE).

a b c (Å): 5.1052 5.1052 5.1052
angles (deg): 60.00 60.00 60.00
With the nearest neighbours (Å) after each atom.
Fractional coordinates of all 4 atoms:
Rh 0.5000 0.5000 0.5000  4 Nd 3.13, 4 Tm 3.13
Mg 0.0000 0.0000 0.0000  4 Nd 3.13, 4 Tm 3.13
Tm 0.2500 0.2500 0.2500  4 Mg 3.13, 4 Rh 3.13
Nd 0.7500 0.7500 0.7500  4 Mg 3.13, 4 Rh 3.13

Summary:
Energy of formation from the pure elements in eV per atom: -0.366



Entry 4:
Entry from Alexandria: LiUCo after structural relaxation (GGA-PBE).

a b c (Å): 3.1968 3.3367 13.2034
angles (deg): 87.57 136.66 90.02
With the nearest neighbours (Å) after each atom.
Fractional coordinates of all 6 atoms:
Li 0.4728 0.7404 0.5743  4 Li 2.66-2.69, 4 Co 2.88, 1 U 2.93
Li 0.5272 0.2596 0.4257  4 Li 2.66-2.69, 4 Co 2.88, 1 U 2.93
Co 0.4579 0.7907 0.2358  4 U 2.53-2.69
Co 0.5421 0.2093 0.7642  4 U 2.53-2.69
U 0.4445 0.7240 0.8983  4 Co 2.53-2.69, 2 U 2.80
U 0.5555 0.2760 0.1017  4 Co 2.53-2.69, 2 U 2.80

Summary:
Energy of formation from the pure elements in eV per atom: -0.009



> energy of formation from the pure elements of number 2 (Ni2Sn5)?

-0.098 eV per atom